A plane-wave DFT calculation with PBE was carried out for a geometry-optimized ZrTlZn2 structure.

a = 6.792 Å, b = 6.792 Å, c = 6.792 Å
α = 90.00°, β = 90.00°, γ = 90.00°
Space group Fm-3m (No. 225)
Symmetry-distinct sites (fractional):
Zr (0.000, 0.000, 0.000) x4
Tl (0.000, 0.000, 0.500) x4
Zn (0.250, 0.250, 0.250) x8

Summary:
Crystal system   cubic
E   -51.1 eV per cell
M_tot   0.000 μB per cell
Calculated volume   78 Å³/f.u.